[1]
A relaxed Sc2TaHg crystal. Source: Alexandria, functional PBE.

Results
* electronic total energy: -6.170 eV per atom
* DOS(E_F): 5.58 states/eV per cell

Cell: 5.1259 5.1259 3.1792 Å, 90.00 90.00 93.80°
Fractional positions:
Sc (0.0000, 0.5000, 0.0000)
Sc (0.5000, 0.0000, 0.0000)
Ta (0.0000, 0.0000, 0.5000)
Hg (0.5000, 0.5000, 0.5000)

***

[2]
A relaxed Nb2VCrFe crystal. Source: Alexandria, functional PBE.

Results
* electronic total energy: -8.535 eV per atom
* DOS(E_F): 6.42 states/eV per cell

Cell: 4.6516 4.6516 4.0495 Å, 90.00 90.00 90.00°
Fractional positions:
Nb (0.0000, 0.5000, 0.0000)
Nb (0.5000, 0.0000, 0.0000)
V (0.0000, 0.0000, 0.5000)
Cr (0.5000, 0.5000, 0.5000)
Fe (0.5000, 0.5000, 0.0000)

***

[3]
A relaxed KAsO2 crystal. Source: Alexandria, functional PBE.

Results
* formation energy without anion corrections: -1226 meV per atom

Cell: 5.6228 4.0702 12.4360 Å, 90.00 90.00 90.00°
Fractional positions:
K (0.2406, 0.2500, 0.1266)
K (0.2594, 0.7500, 0.6266)
K (0.7406, 0.2500, 0.3734)
K (0.7594, 0.7500, 0.8734)
As (0.2454, 0.7500, 0.3469)
As (0.2546, 0.2500, 0.8469)
As (0.7454, 0.7500, 0.1531)
As (0.7546, 0.2500, 0.6531)
O (0.0418, 0.2500, 0.7277)
O (0.2484, 0.2500, 0.3601)
O (0.2516, 0.7500, 0.8601)
O (0.4582, 0.7500, 0.2277)
O (0.5418, 0.2500, 0.7723)
O (0.7484, 0.2500, 0.1399)
O (0.7516, 0.7500, 0.6399)
O (0.9582, 0.7500, 0.2723)

***

[4]
A relaxed YReAg2 crystal. Source: Alexandria, functional PBE.

Results
* DOS(E_F): 2.43 states/eV per cell
* energy above the most stable polymorph in this dataset: 0.040 eV/atom

Cell: 5.1396 5.1396 5.3327 Å, 99.73 99.73 33.35°
Fractional positions:
Y (0.0000, 0.0000, 0.0000)
Re (0.7468, 0.7468, 0.2579)
Ag (0.2393, 0.2393, 0.7264)
Ag (0.4906, 0.4906, 0.4876)

***

| no. | M_tot (Bohr magnetons per cell) |
| --- | --- |
| 1 | 0.0 |
| 2 | 2.2 |
| 3 | 0.0 |
| 4 | 0.0 |